[1]
## KBe2Ir (PBE-GGA)

Data for a geometry-optimized KBe2Ir structure.

Cell: 6.8166 3.9362 6.2989 Å, 90.00 111.32 90.00°
With the nearest neighbours (Å) after each atom.
Space group C2/m (No. 12)
Symmetry-distinct sites (fractional):
K  0.0000  0.0000  0.0000 (multiplicity 2)  2 Be 3.09
Be  0.1758  0.0000  0.5272 (multiplicity 4)  3 Ir 2.28, 3 Be 2.29
Ir  0.0000  0.5000  0.5000 (multiplicity 2)  6 Be 2.28

Summary:
**VASP energy**: -34.96 eV for the cell shown
**Energy relative to the elements**: -0.018 eV/atom

[2]
## Tc2IrBr (PBE-GGA)

Data for a geometry-optimized Tc2IrBr structure.

Cell: 2.8811 2.8811 25.8609 Å, 90.00 90.00 120.00°
With the nearest neighbours (Å) after each atom.
Space group R-3m (No. 166, hexagonal axes)
Symmetry-distinct sites (fractional):
Tc  0.0000  0.0000  0.2504 (multiplicity 6)  3 Ir 2.71, 3 Br 2.73, 6 Tc 2.88
Ir  0.0000  0.0000  0.0000 (multiplicity 3)  6 Tc 2.71, 6 Ir 2.88
Br  0.0000  0.0000  0.5000 (multiplicity 3)  6 Tc 2.73, 6 Br 2.88

Summary:
**VASP energy**: -87.58 eV for the cell shown
**ΔE_f (raw)**: 0.52 eV/atom

[3]
## HfAlAg (PBE-GGA)

Data for a geometry-optimized HfAlAg structure.

Cell: 10.7044 3.0569 7.1259 Å, 90.00 108.70 90.00°
With the nearest neighbours (Å) after each atom.
Space group C2/m (No. 12)
Symmetry-distinct sites (fractional):
Hf  0.1626  0.0000  0.0985 (multiplicity 4)  5 Al 2.87-3.10, 4 Hf 3.06-3.08, 3 Ag 3.11-3.20
Al  0.0313  0.5000  0.7491 (multiplicity 4)  4 Ag 2.72-2.79, 2 Hf 2.87
Ag  0.1503  0.0000  0.5406 (multiplicity 4)  4 Al 2.72-2.79, 2 Ag 2.83

Summary:
**VASP energy**: -67.99 eV for the cell shown
**Energy relative to the elements**: -0.150 eV/atom

[4]
## Tl4FeSi (PBE-GGA)

Data for a geometry-optimized Tl4FeSi structure.

Cell: 8.7710 8.7710 8.7710 Å, 90.00 90.00 90.00°
With the nearest neighbours (Å) after each atom.
Space group F-43m (No. 216)
Symmetry-distinct sites (fractional):
Tl  0.1251  0.1251  0.1251 (multiplicity 16)  6 Tl 3.10
Fe  0.2500  0.2500  0.7500 (multiplicity 4)  12 Tl 3.64, 4 Si 3.80
Si  0.0000  0.0000  0.5000 (multiplicity 4)  12 Tl 3.64, 4 Fe 3.80

Summary:
**VASP energy**: -70.80 eV for the cell shown
**ΔE_f (raw)**: 0.94 eV/atom

[5]
## CsZnGePSe (PBE-GGA)

Data for a geometry-optimized CsZnGePSe structure.

Cell: 4.0896 5.2272 8.2136 Å, 90.85 104.40 112.89°
With the nearest neighbours (Å) after each atom.
Space group P1 (No. 1)
Symmetry-distinct sites (fractional):
Cs  0.0000  0.0000  0.0000 (multiplicity 1)  1 Zn 3.68, 3 Se 3.68-3.71, 3 P 3.70-3.74, 2 Cs 4.09
Zn  0.8690  0.1800  0.5644 (multiplicity 1)  2 P 2.38, 1 Ge 2.53, 1 Se 2.66
Ge  0.5677  0.6541  0.4894 (multiplicity 1)  1 P 2.36, 1 Zn 2.53, 2 Se 2.63-2.64
P  0.5155  0.3425  0.6957 (multiplicity 1)  1 Ge 2.36, 2 Zn 2.38
Se  0.8812  0.4676  0.2993 (multiplicity 1)  2 Ge 2.63-2.64, 1 Zn 2.66

Summary:
**VASP energy**: -17.74 eV for the cell shown
**ΔE_f (raw)**: -0.42 eV/atom

[6]
## Cs3Pa2O6 (PBE-GGA)

Data for a geometry-optimized Cs3Pa2O6 structure.

Cell: 4.4127 4.4127 25.9314 Å, 90.00 90.00 90.00°
With the nearest neighbours (Å) after each atom.
Space group I4/mmm (No. 139)
Symmetry-distinct sites (fractional):
Cs  0.0000  0.0000  0.0000 (multiplicity 2)  8 O 3.27
Cs  0.0000  0.0000  0.1959 (multiplicity 4)  9 O 3.15-3.46
Pa  0.0000  0.0000  0.3986 (multiplicity 4)  5 O 2.01-2.22
O  0.0000  0.0000  0.3210 (multiplicity 4)  1 Pa 2.01
O  0.0000  0.5000  0.0933 (multiplicity 8)  2 Pa 2.22

Summary:
**VASP energy**: -161.89 eV for the cell shown
**ΔE_f (raw)**: -2.69 eV/atom

What did the fourth record say?
## Tl4FeSi (PBE-GGA)

Data for a geometry-optimized Tl4FeSi structure.

Cell: 8.7710 8.7710 8.7710 Å, 90.00 90.00 90.00°
With the nearest neighbours (Å) after each atom.
Space group F-43m (No. 216)
Symmetry-distinct sites (fractional):
Tl  0.1251  0.1251  0.1251 (multiplicity 16)  6 Tl 3.10
Fe  0.2500  0.2500  0.7500 (multiplicity 4)  12 Tl 3.64, 4 Si 3.80
Si  0.0000  0.0000  0.5000 (multiplicity 4)  12 Tl 3.64, 4 Fe 3.80

Summary:
**VASP energy**: -70.80 eV for the cell shown
**ΔE_f (raw)**: 0.94 eV/atom

Question: What is the formula in the third record?
Answer: HfAlAg

Question: Look up the VASP energy of the first one.
Answer: -34.96 eV for the cell shown